An optimized crystal structure of LiAc3P. Source: the Alexandria database, functional PBE.

```
data_LiAc3P
_chemical_formula_sum 'Li1 Ac3 P1'
_symmetry_space_group_name_H-M 'P m -3 m'
_symmetry_Int_Tables_number 221
_symmetry_space_group_name_Hall '-P 4 2 3'
_cell_length_a 5.928
_cell_length_b 5.928
_cell_length_c 5.928
_cell_angle_alpha 90.00
_cell_angle_beta 90.00
_cell_angle_gamma 90.00
loop_
_atom_site_label
_atom_site_type_symbol
_atom_site_fract_x
_atom_site_fract_y
_atom_site_fract_z
Li1 Li 0.000 0.000 0.000
Ac1 Ac 0.000 0.500 0.500
P1 P 0.500 0.500 0.500
```

V ... 208.32 Å³ per cell
N(E_F) ... 1.4413 states/eV/atom
E_form ... -327 meV per atom


An optimized crystal structure of LiAcP2Pd5. Source: the Alexandria database, functional PBE.

```
data_LiAcP2Pd5
_chemical_formula_sum 'Li1 Ac1 P2 Pd5'
_symmetry_space_group_name_H-M 'P 4/m m m'
_symmetry_Int_Tables_number 123
_symmetry_space_group_name_Hall '-P 4 2'
_cell_length_a 4.609
_cell_length_b 4.609
_cell_length_c 7.981
_cell_angle_alpha 90.00
_cell_angle_beta 90.00
_cell_angle_gamma 90.00
loop_
_atom_site_label
_atom_site_type_symbol
_atom_site_fract_x
_atom_site_fract_y
_atom_site_fract_z
Li1 Li 0.000 0.000 0.000
Ac1 Ac 0.000 0.000 0.500
P1 P 0.500 0.500 0.208
Pd1 Pd 0.000 0.500 0.177
Pd2 Pd 0.500 0.500 0.500
```

V ... 169.54 Å³ per cell
N(E_F) ... 0.4317 states/eV/atom
E_form ... -597 meV per atom